# La2Ni7 (PBEsol, relaxed)
# Size of the total moment: 0.817 μB/f.u.
# Calculated formation energy: -0.312 eV per atom
# Crystal system: hexagonal
data_La2Ni7
_chemical_formula_sum 'La8 Ni28'
_symmetry_space_group_name_H-M 'P 63/m m c'
_symmetry_Int_Tables_number 194
_symmetry_space_group_name_Hall '-P 6c 2c'
_cell_length_a 4.9455
_cell_length_b 4.9455
_cell_length_c 24.2122
_cell_angle_alpha 90.00
_cell_angle_beta 90.00
_cell_angle_gamma 120.00
loop_
_atom_site_label
_atom_site_fract_x
_atom_site_fract_y
_atom_site_fract_z
La1 0.3333 0.6667 0.0304
La2 0.3333 0.6667 0.1739
Ni1 0.0000 0.0000 0.0000
Ni2 0.0000 0.0000 0.1688
Ni3 0.1662 0.3325 0.5872
Ni4 0.1671 0.3342 0.7500
Ni5 0.3333 0.6667 0.6680